PBE-GGA ScNi, optimized geometry; formation enthalpy at 0 K = -0.515 eV per atom
1.0
3.154 0.000 0.000
0.000 3.154 0.000
0.000 0.000 3.154
Ni Sc
1 1
Direct
0.000 0.000 0.000
0.500 0.500 0.500